[1]
Material: Pm8IrPb2
Method: DFT, GGA-PBE
State: relaxed

ρ = 8.64 g cm⁻³
SG = C2/m
ΔH_f (0 K) = -34.75 kJ/mol of atoms
Calculated volume = 30.9 Å³ per atom

Cell lengths 5.0955, 6.9481, 10.2643 Å; angles 104.77, 104.37, 90.00 degrees
Fractional coordinates of all 11 atoms:
1 Pm 0.4108 0.5389 0.8216
2 Pm 0.6443 0.0030 0.2887
3 Pm 0.7836 0.6741 0.5672
4 Pm 0.9838 0.2144 0.9677
5 Pm 0.2164 0.3259 0.4328
6 Pm 0.3557 0.9970 0.7113
7 Pm 0.5892 0.4611 0.1784
8 Pm 0.0162 0.7856 0.0323
9 Ir 0.5000 0.0000 0.0000
10 Pb 0.8192 0.2416 0.6384
11 Pb 0.1808 0.7584 0.3616

---

[2]
Material: Ac5In2Hg
Method: DFT, GGA-PBE
State: relaxed

ρ = 8.57 g cm⁻³
SG = I4/mcm
ΔH_f (0 K) = -30.61 kJ/mol of atoms
Calculated volume = 37.9 Å³ per atom

Cell lengths 8.4810, 8.4810, 10.3470 Å; angles 114.19, 114.19, 90.00 degrees
Fractional coordinates of all 16 atoms:
1 Ac 0.5226 0.6777 0.7003
2 Ac 0.8223 0.9774 0.2997
3 Ac 0.0000 0.0000 0.0000
4 Ac 0.5000 0.5000 0.0000
5 Ac 0.1777 0.0226 0.7003
6 Ac 0.6777 0.1777 0.7003
7 Ac 0.0226 0.5226 0.7003
8 Ac 0.3223 0.8223 0.2997
9 Ac 0.9774 0.4774 0.2997
10 Ac 0.4774 0.3223 0.2997
11 In 0.1207 0.3793 0.0000
12 In 0.6207 0.1207 0.0000
13 In 0.3793 0.8793 0.0000
14 In 0.8793 0.6207 0.0000
15 Hg 0.7500 0.7500 0.5000
16 Hg 0.2500 0.2500 0.5000

---

[3]
Material: In2BSe
Method: DFT, GGA-PBE
State: relaxed

Energy relative to the lowest polymorph listed for this composition = 653.3 meV per atom
ρ = 6.35 g cm⁻³
SG = Fm-3m
E_form (uncorrected) = 0.86 eV/atom
Calculated volume = 20.9 Å³ per atom

Cell lengths 4.9058, 4.9058, 4.9058 Å; angles 60.00, 60.00, 60.00 degrees
Fractional coordinates of all 4 atoms:
1 B 0.0000 0.0000 0.0000
2 Se 0.5000 0.5000 0.5000
3 In 0.2500 0.2500 0.2500
4 In 0.7500 0.7500 0.7500

---

[4]
Material: Pr2MgBeIr2
Method: DFT, GGA-PBE
State: relaxed

ρ = 8.94 g cm⁻³
SG = Ibam
ΔH_f (0 K) = -46.20 kJ/mol of atoms
Calculated volume = 21.7 Å³ per atom

Cell lengths 6.0073, 7.4126, 7.5395 Å; angles 119.44, 113.48, 90.00 degrees
Fractional coordinates of all 12 atoms:
1 Pr 0.6787 0.8546 0.3575
2 Pr 0.1787 0.5029 0.3575
3 Pr 0.8213 0.4971 0.6425
4 Pr 0.3213 0.1454 0.6425
5 Mg 0.2500 0.0000 0.0000
6 Mg 0.7500 0.0000 0.0000
7 Be 0.7500 0.5000 0.0000
8 Be 0.2500 0.5000 0.0000
9 Ir 0.4181 0.6250 0.8362
10 Ir 0.5819 0.3750 0.1638
11 Ir 0.0819 0.7888 0.1638
12 Ir 0.9181 0.2112 0.8362

---

[5]
Material: CeZnAg3
Method: DFT, GGA-PBE
State: relaxed

Energy relative to the lowest polymorph listed for this composition = 0.0 meV per atom
ρ = 8.44 g cm⁻³
SG = Pnma
ΔH_f (0 K) = -12.21 kJ/mol of atoms
Calculated volume = 20.8 Å³ per atom

Cell lengths 4.9084, 9.2678, 9.1548 Å; angles 90.00, 90.00, 90.00 degrees
Fractional coordinates of all 20 atoms:
1 Ce 0.7500 0.7534 0.9909
2 Ce 0.2500 0.7466 0.4909
3 Ce 0.7500 0.2534 0.5091
4 Ce 0.2500 0.2466 0.0091
5 Zn 0.2500 0.1092 0.6646
6 Zn 0.2500 0.6092 0.8354
7 Zn 0.7500 0.3908 0.1646
8 Zn 0.7500 0.8908 0.3354
9 Ag 0.2500 0.5883 0.1280
10 Ag 0.7500 0.4117 0.8720
11 Ag 0.2500 0.0883 0.3720
12 Ag 0.7500 0.9117 0.6280
13 Ag 0.2500 0.3970 0.6629
14 Ag 0.7500 0.1030 0.1629
15 Ag 0.2500 0.8970 0.8371
16 Ag 0.7500 0.6012 0.6493
17 Ag 0.2500 0.3988 0.3507
18 Ag 0.7500 0.1012 0.8507
19 Ag 0.7500 0.6030 0.3371
20 Ag 0.2500 0.8988 0.1493

---

[6]
Material: HfPtSe3
Method: DFT, GGA-PBE
State: relaxed

Energy relative to the lowest polymorph listed for this composition = 26.8 meV per atom
ρ = 8.67 g cm⁻³
SG = Pm-3m
E_form (uncorrected) = 0.27 eV/atom
Calculated volume = 23.4 Å³ per atom

Cell lengths 4.8895, 4.8895, 4.8895 Å; angles 90.00, 90.00, 90.00 degrees
Fractional coordinates of all 5 atoms:
1 Hf 0.5000 0.5000 0.5000
2 Se 0.0000 0.5000 0.0000
3 Se 0.0000 0.0000 0.5000
4 Se 0.5000 0.0000 0.0000
5 Pt 0.0000 0.0000 0.0000

---

[7]
Material: Ca2YIr
Method: DFT, GGA-PBE
State: relaxed

Energy relative to the lowest polymorph listed for this composition = 43.3 meV per atom
ρ = 4.88 g cm⁻³
SG = Immm
ΔH_f (0 K) = -26.46 kJ/mol of atoms
Calculated volume = 30.8 Å³ per atom

Cell lengths 8.1392, 8.1392, 8.1392 Å; angles 155.32, 146.79, 41.81 degrees
Fractional coordinates of all 4 atoms:
1 Y 0.2500 0.7500 0.5000
2 Ca 0.9121 0.9121 0.0000
3 Ca 0.5879 0.5879 0.0000
4 Ir 0.7500 0.2500 0.5000

---

[8]
Material: Ta4Mo
Method: DFT, GGA-PBE
State: relaxed

Energy relative to the lowest polymorph listed for this composition = 34.4 meV per atom
ρ = 15.38 g cm⁻³
SG = C2/m
ΔH_f (0 K) = -5.71 kJ/mol of atoms
Calculated volume = 17.7 Å³ per atom

Cell lengths 7.1038, 7.1038, 2.8712 Å; angles 82.42, 82.42, 38.10 degrees
Fractional coordinates of all 5 atoms:
1 Mo 0.0000 0.0000 0.0000
2 Ta 0.4019 0.4019 0.3757
3 Ta 0.8014 0.8014 0.8067
4 Ta 0.1986 0.1986 0.1933
5 Ta 0.5981 0.5981 0.6243

---

Number 1: final energy -5.29 eV/atom. Number 2: final energy -3.61 eV/atom. Number 3: final energy -3.05 eV/atom. Number 4: final energy -5.91 eV/atom. Number 5: final energy -3.28 eV/atom. Number 6: final energy -5.02 eV/atom. Number 7: final energy -5.11 eV/atom. Number 8: final energy -11.71 eV/atom.